This record from Alexandria describes a relaxed structure of HoScAlCo. The functional is PBE.

```
data_HoScAlCo
_cell_length_a 6.7637
_cell_length_b 6.7637
_cell_length_c 6.7637
_cell_angle_alpha 90.00
_cell_angle_beta 90.00
_cell_angle_gamma 90.00
_space_group_name_H-M_alt 'F -4 3 m'
_space_group_IT_number 216
_space_group_name_Hall 'F -4 2 3'
loop_
_atom_site_label
_atom_site_fract_x
_atom_site_fract_y
_atom_site_fract_z
Ho1 0.0000 0.0000 0.0000
Sc1 0.0000 0.0000 0.5000
Al1 0.2500 0.2500 0.2500
Co1 0.2500 0.2500 0.7500
```

Values from the calculation:
Theoretical density in g/cm3: 6.3
Crystal system: cubic
E_form in kJ/mol of formula units: -99
Total energy in eV per atom: -5.696



This record from Alexandria describes a relaxed structure of Tm3Cd3Rh2. The functional is PBE.

```
data_Tm3Cd3Rh2
_cell_length_a 7.5734
_cell_length_b 7.5734
_cell_length_c 3.5477
_cell_angle_alpha 90.00
_cell_angle_beta 90.00
_cell_angle_gamma 120.00
_space_group_name_H-M_alt 'P -6 2 m'
_space_group_IT_number 189
_space_group_name_Hall 'P -6 -2'
loop_
_atom_site_label
_atom_site_fract_x
_atom_site_fract_y
_atom_site_fract_z
Tm1 0.0000 0.5740 0.0000
Cd1 0.0000 0.2287 0.5000
Rh1 0.3333 0.6667 0.5000
```

Values from the calculation:
Theoretical density in g/cm3: 9.9
Crystal system: hexagonal
E_form in kJ/mol of formula units: -468
Total energy in eV per atom: -4.464



This record from Alexandria describes a relaxed structure of Rb2Bi. The functional is PBE.

```
data_Rb2Bi
_cell_length_a 4.2568
_cell_length_b 4.2568
_cell_length_c 20.9657
_cell_angle_alpha 90.00
_cell_angle_beta 90.00
_cell_angle_gamma 120.00
_space_group_name_H-M_alt 'P 63/m m c'
_space_group_IT_number 194
_space_group_name_Hall '-P 6c 2c'
loop_
_atom_site_label
_atom_site_fract_x
_atom_site_fract_y
_atom_site_fract_z
Rb1 0.0000 0.0000 0.1153
Bi1 0.3333 0.6667 0.2500
```

Values from the calculation:
Energy relative to the lowest polymorph listed for this composition in meV/atom: 207.7
Theoretical density in g/cm3: 3.8
Crystal system: hexagonal
E_form in kJ/mol of formula units: -1
Total energy in eV per atom: -1.944



This record from Alexandria describes a relaxed structure of NdLu5. The functional is PBE.

```
data_NdLu5
_cell_length_a 4.9471
_cell_length_b 14.8429
_cell_length_c 4.9456
_cell_angle_alpha 90.00
_cell_angle_beta 90.00
_cell_angle_gamma 90.00
_space_group_name_H-M_alt 'C m m m'
_space_group_IT_number 65
_space_group_name_Hall '-C 2 2'
loop_
_atom_site_label
_atom_site_fract_x
_atom_site_fract_y
_atom_site_fract_z
Nd1 0.0000 0.0000 0.0000
Lu1 0.0000 0.1678 0.5000
Lu2 0.0000 0.3316 0.0000
Lu3 0.0000 0.5000 0.5000
```

Values from the calculation:
Theoretical density in g/cm3: 9.3
Crystal system: orthorhombic
E_form in kJ/mol of formula units: 21
Total energy in eV per atom: -4.526